PBE Tb3HoEr2, relaxed; ΔE to the lowest computed polymorph = 0.000 eV per atom; formation energy = -0.01 eV/f.u.; size of the total moment = 0.000 μB per atom; density = 8.68 g/cm³
1.0
-5.828 4.083 0.310
-0.065 -9.069 -4.439
1.757 -4.121 5.532
Tb Ho Er
6 2 4
direct
0.749 0.999 0.250 Tb
0.195 0.335 0.639 Tb
0.805 0.666 0.861 Tb
0.251 0.001 0.750 Tb
0.805 0.665 0.361 Tb
0.195 0.334 0.139 Tb
0.251 0.001 0.250 Ho
0.749 0.999 0.750 Ho
0.695 0.333 0.639 Er
0.304 0.666 0.861 Er
0.305 0.667 0.361 Er
0.696 0.334 0.139 Er